# 1
# Tl2CuRe

A relaxed structure of Tl2CuRe (PBE, Alexandria).

ΔE_f = 0.94 eV per atom
DOS(E_F) = 2.474 states/eV/cell
Space-group type = Pmmm (47)
Energy above the lowest structure with this stoichiometry = 0.97 eV per formula unit
Total magnetic moment = 0.00 μB/f.u.

abc: 3.005 4.097 6.114
angles: 90.00 90.00 90.00
Element x y z (fractional)
Cu1 0.500 0.500 0.250
Re1 0.500 0.500 0.750
Tl1 0.000 0.000 0.002
Tl2 0.000 0.000 0.498


# 2
# Tl2CuRe

A relaxed structure of Tl2CuRe (PBE, Alexandria).

ΔE_f = 1.20 eV per atom
DOS(E_F) = 5.651 states/eV/cell
Space-group type = I-42d (122)
Energy above the lowest structure with this stoichiometry = 2.02 eV per formula unit
Total magnetic moment = 1.12 μB/f.u.

abc: 4.231 4.231 9.936
angles: 77.71 77.71 90.00
Last column: magnetic moment on the atom in μB.
Element x y z (fractional)
Re1 0.000 0.000 0.000  1.02
Re2 0.750 0.250 0.500  1.02
Tl1 0.628 0.125 0.250  -0.02
Tl2 0.122 0.625 0.250  -0.02
Tl3 0.375 0.372 0.750  -0.02
Tl4 0.875 0.878 0.750  -0.02
Cu1 0.500 0.500 0.000  0.01
Cu2 0.250 0.750 0.500  0.01


# 3
# Tl2CuRe

A relaxed structure of Tl2CuRe (PBE, Alexandria).

ΔE_f = 0.97 eV per atom
DOS(E_F) = 1.759 states/eV/cell
Space-group type = Pmmm (47)
Energy above the lowest structure with this stoichiometry = 1.08 eV per formula unit
Total magnetic moment = 0.00 μB/f.u.

abc: 2.925 5.531 4.874
angles: 90.00 90.00 90.00
Element x y z (fractional)
Cu1 0.500 0.000 0.500
Re1 0.000 0.500 0.500
Tl1 0.000 0.000 0.000
Tl2 0.500 0.500 0.000